Entry 1:
VASP calculation (PBE-GGA) on a relaxed Be2NiW crystal.

Properties
excess energy over the best structure of this formula in the dataset = 0.92 eV per formula unit
E_form = 0.0583 eV per atom
uncorrected energy = -51.91 eV/cell

```
data_Be2NiW
_cell_length_a 2.662
_cell_length_b 4.008
_cell_length_c 8.180
_cell_angle_alpha 90.00
_cell_angle_beta 90.00
_cell_angle_gamma 90.00
_space_group_name_H-M_alt 'I m m 2'
_space_group_IT_number 44
_space_group_name_Hall 'I 2 -2'
loop_
_atom_site_label
_atom_site_type_symbol
_atom_site_fract_x
_atom_site_fract_y
_atom_site_fract_z
Be1 Be 0.000 0.000 0.000
Be2 Be 0.000 0.500 0.281
Ni1 Ni 0.000 0.500 0.736
W1 W 0.000 0.000 0.511
```

=====

Entry 2:
VASP calculation (PBE-GGA) on a relaxed La2UP3 crystal.

Properties
excess energy over the best structure of this formula in the dataset = 0.09 eV per formula unit
E_form = -1.3189 eV per atom
uncorrected energy = -90.57 eV/cell

```
data_La2UP3
_cell_length_a 4.165
_cell_length_b 4.165
_cell_length_c 17.631
_cell_angle_alpha 90.00
_cell_angle_beta 90.00
_cell_angle_gamma 90.00
_space_group_name_H-M_alt 'I 4/m m m'
_space_group_IT_number 139
_space_group_name_Hall '-I 4 2'
loop_
_atom_site_label
_atom_site_type_symbol
_atom_site_fract_x
_atom_site_fract_y
_atom_site_fract_z
La1 La 0.000 0.000 0.166
U1 U 0.000 0.000 0.500
P1 P 0.000 0.000 0.000
P2 P 0.000 0.000 0.341
```

=====

Entry 3:
VASP calculation (PBE-GGA) on a relaxed TaZn2 crystal.

Properties
E_form = 0.0612 eV per atom
uncorrected energy = -56.87 eV/cell

```
data_TaZn2
_cell_length_a 5.716
_cell_length_b 3.866
_cell_length_c 8.609
_cell_angle_alpha 90.00
_cell_angle_beta 90.00
_cell_angle_gamma 90.00
_space_group_name_H-M_alt 'P n m a'
_space_group_IT_number 62
_space_group_name_Hall '-P 2ac 2n'
loop_
_atom_site_label
_atom_site_type_symbol
_atom_site_fract_x
_atom_site_fract_y
_atom_site_fract_z
Ta1 Ta 0.108 0.250 0.091
Zn1 Zn 0.117 0.250 0.424
Zn2 Zn 0.141 0.250 0.754
```

=====

Entry 4:
VASP calculation (PBE-GGA) on a relaxed P3PtO9 crystal.

Properties
uncorrected formation energy = -1660 meV per atom
uncorrected energy = -353.92 eV/cell

```
data_P3PtO9
_cell_length_a 13.840
_cell_length_b 6.540
_cell_length_c 9.825
_cell_angle_alpha 90.00
_cell_angle_beta 129.97
_cell_angle_gamma 90.00
_space_group_name_H-M_alt 'C 1 c 1'
_space_group_IT_number 9
_space_group_name_Hall 'C -2yc'
loop_
_atom_site_label
_atom_site_type_symbol
_atom_site_fract_x
_atom_site_fract_y
_atom_site_fract_z
P1 P 0.000 0.056 0.000
P2 P 0.117 0.411 0.944
P3 P 0.391 0.099 0.572
Pt1 Pt 0.255 0.244 0.758
O1 O 0.014 0.468 0.264
O2 O 0.038 0.211 0.917
O3 O 0.112 0.043 0.670
O4 O 0.138 0.474 0.596
O5 O 0.228 0.359 0.960
O6 O 0.278 0.117 0.560
O7 O 0.378 0.027 0.931
O8 O 0.404 0.423 0.842
O9 O 0.434 0.320 0.560
```

=====

Entry 5:
VASP calculation (PBE-GGA) on a relaxed Ba2HgAs3Pd4 crystal.

Properties
E_form = -0.6760 eV per atom
uncorrected energy = -45.63 eV/cell

```
data_Ba2HgAs3Pd4
_cell_length_a 4.621
_cell_length_b 4.621
_cell_length_c 10.484
_cell_angle_alpha 90.00
_cell_angle_beta 90.00
_cell_angle_gamma 90.00
_space_group_name_H-M_alt 'P -4 m 2'
_space_group_IT_number 115
_space_group_name_Hall 'P -4 -2'
loop_
_atom_site_label
_atom_site_type_symbol
_atom_site_fract_x
_atom_site_fract_y
_atom_site_fract_z
Ba1 Ba 0.000 0.500 0.247
Hg1 Hg 0.000 0.000 0.500
As1 As 0.000 0.500 0.882
As2 As 0.500 0.500 0.500
Pd1 Pd 0.000 0.000 0.000
Pd2 Pd 0.000 0.500 0.641
Pd3 Pd 0.500 0.500 0.000
```

=====

Entry 6:
VASP calculation (PBE-GGA) on a relaxed YCdIr2W crystal.

Properties
E_form = 2.0612 eV per atom
uncorrected energy = -27.75 eV/cell

```
data_YCdIr2W
_cell_length_a 4.801
_cell_length_b 4.801
_cell_length_c 5.043
_cell_angle_alpha 90.00
_cell_angle_beta 90.00
_cell_angle_gamma 90.00
_space_group_name_H-M_alt 'P 4/m m m'
_space_group_IT_number 123
_space_group_name_Hall '-P 4 2'
loop_
_atom_site_label
_atom_site_type_symbol
_atom_site_fract_x
_atom_site_fract_y
_atom_site_fract_z
Y1 Y 0.000 0.000 0.000
Cd1 Cd 0.000 0.000 0.500
Ir1 Ir 0.000 0.500 0.500
W1 W 0.500 0.500 0.000
```

=====

Entry 7:
VASP calculation (PBE-GGA) on a relaxed ErZn11Ge crystal.

Properties
E_form = -0.1007 eV per atom
uncorrected energy = -49.01 eV/cell

```
data_ErZn11Ge
_cell_length_a 5.284
_cell_length_b 12.681
_cell_length_c 6.766
_cell_angle_alpha 90.00
_cell_angle_beta 112.33
_cell_angle_gamma 90.00
_space_group_name_H-M_alt 'C 1 2/m 1'
_space_group_IT_number 12
_space_group_name_Hall '-C 2y'
loop_
_atom_site_label
_atom_site_type_symbol
_atom_site_fract_x
_atom_site_fract_y
_atom_site_fract_z
Er1 Er 0.000 0.000 0.000
Zn1 Zn 0.000 0.500 0.500
Zn2 Zn 0.094 0.392 0.210
Zn3 Zn 0.185 0.180 0.352
Zn4 Zn 0.250 0.250 0.000
Ge1 Ge 0.000 0.000 0.500
```

=====

Entry 8:
VASP calculation (PBE-GGA) on a relaxed CePuBrO2 crystal.

Properties
uncorrected formation energy = -2627 meV per atom
uncorrected energy = -89.98 eV/cell

```
data_CePuBrO2
_cell_length_a 6.862
_cell_length_b 4.069
_cell_length_c 8.083
_cell_angle_alpha 90.00
_cell_angle_beta 108.20
_cell_angle_gamma 90.00
_space_group_name_H-M_alt 'P 1 21/m 1'
_space_group_IT_number 11
_space_group_name_Hall '-P 2yb'
loop_
_atom_site_label
_atom_site_type_symbol
_atom_site_fract_x
_atom_site_fract_y
_atom_site_fract_z
Ce1 Ce 0.182 0.250 0.424
Pu1 Pu 0.171 0.250 0.921
Br1 Br 0.449 0.750 0.739
O1 O 0.002 0.250 0.129
O2 O 0.010 0.750 0.381
```

=====

Entry 9:
VASP calculation (PBE-GGA) on a relaxed NbTe2Rh crystal.

Properties
uncorrected formation energy = 64 meV per atom
uncorrected energy = -70.34 eV/cell

```
data_NbTe2Rh
_cell_length_a 3.4591
_cell_length_b 3.4591
_cell_length_c 26.9184
_cell_angle_alpha 90.00
_cell_angle_beta 90.00
_cell_angle_gamma 120.00
_space_group_name_H-M_alt 'R -3 m'
_space_group_IT_number 166
_space_group_name_Hall '-R 3 2"'
loop_
_atom_site_label
_atom_site_type_symbol
_atom_site_fract_x
_atom_site_fract_y
_atom_site_fract_z
Nb1 Nb 0.0000 0.0000 0.0000
Te1 Te 0.0000 0.0000 0.4058
Rh1 Rh 0.0000 0.0000 0.5000
```

=====

Entry 10:
VASP calculation (PBE-GGA) on a relaxed EuYMgAg crystal.

Properties
E_form = -0.1329 eV per atom
uncorrected energy = -86.86 eV/cell

```
data_EuYMgAg
_cell_length_a 7.605
_cell_length_b 7.605
_cell_length_c 7.605
_cell_angle_alpha 90.00
_cell_angle_beta 90.00
_cell_angle_gamma 90.00
_space_group_name_H-M_alt 'F -4 3 m'
_space_group_IT_number 216
_space_group_name_Hall 'F -4 2 3'
loop_
_atom_site_label
_atom_site_type_symbol
_atom_site_fract_x
_atom_site_fract_y
_atom_site_fract_z
Eu1 Eu 0.000 0.000 0.000
Y1 Y 0.000 0.000 0.500
Mg1 Mg 0.250 0.250 0.250
Ag1 Ag 0.250 0.250 0.750
```

=====

Entry 11:
VASP calculation (PBE-GGA) on a relaxed CaLaDyIn crystal.

Properties
E_form = -0.1735 eV per atom
uncorrected energy = -59.85 eV/cell

```
data_CaLaDyIn
_cell_length_a 7.931
_cell_length_b 7.931
_cell_length_c 7.931
_cell_angle_alpha 90.00
_cell_angle_beta 90.00
_cell_angle_gamma 90.00
_space_group_name_H-M_alt 'F -4 3 m'
_space_group_IT_number 216
_space_group_name_Hall 'F -4 2 3'
loop_
_atom_site_label
_atom_site_type_symbol
_atom_site_fract_x
_atom_site_fract_y
_atom_site_fract_z
Ca1 Ca 0.000 0.000 0.000
La1 La 0.250 0.250 0.750
Dy1 Dy 0.250 0.250 0.250
In1 In 0.000 0.000 0.500
```

=====

Entry 12:
VASP calculation (PBE-GGA) on a relaxed Sc2IrN crystal.

Properties
uncorrected formation energy = -150 meV per atom
uncorrected energy = -91.35 eV/cell

```
data_Sc2IrN
_cell_length_a 3.8884
_cell_length_b 3.8884
_cell_length_c 20.4918
_cell_angle_alpha 90.00
_cell_angle_beta 90.00
_cell_angle_gamma 120.00
_space_group_name_H-M_alt 'R -3 m'
_space_group_IT_number 166
_space_group_name_Hall '-R 3 2"'
loop_
_atom_site_label
_atom_site_type_symbol
_atom_site_fract_x
_atom_site_fract_y
_atom_site_fract_z
Sc1 Sc 0.0000 0.0000 0.0928
Ir1 Ir 0.0000 0.0000 0.5000
N1 N 0.0000 0.0000 0.0000
```

=====

Values for total magnetization, μB per atom, ordered as above
0.000, 0.399, 0.000, 0.077, 0.000, 0.000, 0.000, 1.400, 0.129, 1.804, 0.000, 0.027